RbNaMg2Ga | GGA-PBE | relaxed

Summary:
Theoretical density   2.2 Mg/m³
Formation enthalpy at 0 K   0.09 eV per atom
Total moment   0.00 μB/f.u.

a = 5.3528 Å, b = 5.3528 Å, c = 5.9581 Å
α = 90.00°, β = 90.00°, γ = 90.00°
Last column: nearest neighbours and their distance in Å.
Space group P4/mmm (No. 123)
Asymmetric unit:
Rb1 0.0000 0.0000 0.0000 x1  4 Na 3.78, 8 Mg 4.00
Na1 0.5000 0.5000 0.0000 x1  2 Ga 2.98
Mg1 0.0000 0.5000 0.5000 x2  2 Ga 2.68
Ga1 0.5000 0.5000 0.5000 x1  4 Mg 2.68, 2 Na 2.98


PaHRh | GGA-PBE | relaxed

Summary:
Theoretical density   12.4 Mg/m³
Total DFT energy (no corrections)   -44.17 eV/cell
Total moment   0.00 μB/f.u.

a = 3.7030 Å, b = 3.8978 Å, c = 6.4581 Å
α = 90.00°, β = 106.54°, γ = 90.00°
Last column: nearest neighbours and their distance in Å.
Space group P2_1/m (No. 11)
Asymmetric unit:
Pa1 0.1429 0.2500 0.2847 x2  4 H 2.30-2.34
H1 0.2473 0.7500 0.4940 x2  4 Pa 2.30-2.34
Rh1 0.4167 0.2500 0.8353 x2  4 H 2.75-2.87, 4 Pa 2.79, 2 Rh 2.82


La2Cu2Ag | GGA-PBE | relaxed

Summary:
Theoretical density   7.2 Mg/m³
Formation enthalpy at 0 K   -0.24 eV per atom
Total moment   0.00 μB/f.u.

a = 4.1907 Å, b = 14.4774 Å, c = 3.8968 Å
α = 90.00°, β = 90.00°, γ = 90.00°
Last column: nearest neighbours and their distance in Å.
Space group Cmmm (No. 65)
Asymmetric unit:
La1 0.0000 0.1271 0.0000 x4  6 Cu 3.06-3.15, 4 Ag 3.40
Cu1 0.0000 0.2979 0.5000 x4  2 Cu 2.51
Ag1 0.0000 0.5000 0.5000 x2  2 Cu 2.93


LiBiRuO6 | GGA-PBE | relaxed

Summary:
Theoretical density   6.4 Mg/m³
Total moment   0.00 μB/f.u.
Energy relative to the elements, uncorrected   -956 meV/atom

a = 5.1461 Å, b = 5.1461 Å, c = 4.6757 Å
α = 90.00°, β = 90.00°, γ = 120.00°
Last column: nearest neighbours and their distance in Å.
Space group P312 (No. 149)
Asymmetric unit:
Li1 0.0000 0.0000 0.0000 x1  6 O 2.03
Bi1 0.3333 0.6667 0.5000 x1  6 O 2.25
Ru1 0.6667 0.3333 0.0000 x1  6 O 1.91
O1 0.3516 0.0387 0.2308 x6  1 Ru 1.91, 1 Li 2.03


Er4CdIr | GGA-PBE | relaxed

Summary:
Theoretical density   10.5 Mg/m³
Formation enthalpy at 0 K   -0.54 eV per atom
Total moment   0.00 μB/f.u.

a = 13.4965 Å, b = 13.4965 Å, c = 13.4965 Å
α = 90.00°, β = 90.00°, γ = 90.00°
Last column: nearest neighbours and their distance in Å.
Space group F-43m (No. 216)
Asymmetric unit:
Er1 0.0000 0.0000 0.1877 x24  2 Cd 3.23, 2 Ir 3.44, 10 Er 3.44-3.58
Er2 0.0603 0.2500 0.2500 x24  2 Ir 2.78
Er3 0.0995 0.0995 0.5995 x16  3 Ir 2.81
Cd1 0.1689 0.1689 0.8311 x16  3 Cd 3.10, 9 Er 3.23-3.46
Ir1 0.1081 0.1081 0.3919 x16  6 Er 2.78-2.81


RbHfNiB2 | GGA-PBE | relaxed

Summary:
Theoretical density   4.8 Mg/m³
Formation enthalpy at 0 K   2.07 eV per atom
Total moment   0.94 μB/f.u.

a = 4.4767 Å, b = 4.4767 Å, c = 5.9137 Å
α = 90.00°, β = 90.00°, γ = 90.00°
Last column: nearest neighbours and their distance in Å.
Space group P4/mmm (No. 123)
Asymmetric unit:
Rb1 0.0000 0.0000 0.0000 x1  2 Hf 2.96, 4 Ni 3.17
Hf1 0.0000 0.0000 0.5000 x1  4 B 2.24
Ni1 0.5000 0.5000 0.0000 x1  4 Rb 3.17
B1 0.0000 0.5000 0.5000 x2  2 Hf 2.24


AcPu2Zn | GGA-PBE | relaxed

Summary:
Theoretical density   10.5 Mg/m³
Formation enthalpy at 0 K   0.41 eV per atom
Total moment   12.59 μB/f.u.

a = 3.4911 Å, b = 3.4911 Å, c = 34.9297 Å
α = 90.00°, β = 90.00°, γ = 120.00°
Last column: nearest neighbours and their distance in Å.
Space group R-3m (No. 166, hexagonal axes)
Asymmetric unit:
Ac1 0.0000 0.0000 0.0000 x3  2 Pu 3.47, 6 Ac 3.49
Pu1 0.0000 0.0000 0.0994 x6  3 Zn 3.10
Zn1 0.0000 0.0000 0.5000 x3  6 Pu 3.10


PmNpNiOs | GGA-PBE | relaxed

Summary:
Theoretical density   13.1 Mg/m³
Formation enthalpy at 0 K   0.09 eV per atom
Total moment   3.52 μB/f.u.

a = 6.8427 Å, b = 6.8427 Å, c = 6.8427 Å
α = 90.00°, β = 90.00°, γ = 90.00°
Last column: nearest neighbours and their distance in Å.
Space group F-43m (No. 216)
Asymmetric unit:
Pm1 0.0000 0.0000 0.0000 x4  4 Ni 2.96, 4 Os 2.96
Np1 0.0000 0.0000 0.5000 x4  4 Os 2.96, 4 Ni 2.96
Ni1 0.2500 0.2500 0.7500 x4  4 Np 2.96, 4 Pm 2.96
Os1 0.2500 0.2500 0.2500 x4  4 Pm 2.96, 4 Np 2.96


GdMg2Rh | GGA-PBE | relaxed

Summary:
Theoretical density   5.9 Mg/m³
Formation enthalpy at 0 K   0.04 eV per atom
Total moment   7.23 μB/f.u.

a = 3.1088 Å, b = 3.1088 Å, c = 31.1672 Å
α = 90.00°, β = 90.00°, γ = 120.00°
Last column: nearest neighbours and their distance in Å.
Space group R-3m (No. 166, hexagonal axes)
Asymmetric unit:
Gd1 0.0000 0.0000 0.0000 x3  6 Gd 3.11, 2 Mg 3.21
Mg1 0.0000 0.0000 0.1031 x6  3 Rh 2.67
Rh1 0.0000 0.0000 0.5000 x3  6 Mg 2.67